Entry 1:
A plane-wave DFT calculation with PBE was carried out for a relaxed structure of CaTaAsBr2.

Cell lengths 5.3466, 5.7488, 5.3466 Å; angles 90.00, 90.00, 90.00 degrees
Last column: magnetic moment on the atom in μB.
Fractional positions:
As 0.0000 0.0000 0.0000  0.01
Ca 0.0000 0.5000 0.0000  0.05
Br 0.0000 0.0000 0.5000  -0.01
Br 0.5000 0.0000 0.0000  0.00
Ta 0.5000 0.5000 0.5000  2.13

## Properties
The space group is P4/mmm (123). Its energy relative to the elements, uncorrected is 0.91 eV per atom. As for the excess energy over the best structure of this formula in the dataset: 1252 meV per atom. The crystal system is tetragonal.

***

Entry 2:
A plane-wave DFT calculation with PBE was carried out for a relaxed structure of BaTlSiTe4.

Cell lengths 7.9847, 6.7513, 10.2609 Å; angles 90.00, 106.82, 90.00 degrees
Fractional positions:
Ba 0.7725 0.7500 0.4550
Ba 0.2275 0.2500 0.5450
Tl 0.7230 0.7500 0.9285
Tl 0.2770 0.2500 0.0715
Si 0.2359 0.7500 0.2972
Si 0.7641 0.2500 0.7028
Te 0.0140 0.5070 0.7708
Te 0.9860 0.0070 0.2292
Te 0.9860 0.4930 0.2292
Te 0.0140 0.9930 0.7708
Te 0.4318 0.7500 0.1482
Te 0.5682 0.2500 0.8518
Te 0.3687 0.7500 0.5512
Te 0.6313 0.2500 0.4488

## Properties
The space group is P2_1/m (11). Its energy relative to the elements, uncorrected is -0.60 eV per atom. The crystal system is monoclinic.

***

Entry 3:
A plane-wave DFT calculation with PBE was carried out for a relaxed structure of Sc2Ta2Mo.

Cell lengths 6.5635, 6.5635, 4.8710 Å; angles 90.00, 90.00, 90.00 degrees
Fractional positions:
Sc 0.1680 0.6680 0.5000
Sc 0.6680 0.8320 0.5000
Sc 0.8320 0.3320 0.5000
Sc 0.3320 0.1680 0.5000
Mo 0.0000 0.0000 0.0000
Mo 0.5000 0.5000 0.0000
Ta 0.3547 0.8547 0.0000
Ta 0.8547 0.6453 0.0000
Ta 0.6453 0.1453 0.0000
Ta 0.1453 0.3547 0.0000

## Properties
The space group is P4/mbm (127). As for the excess energy over the best structure of this formula in the dataset: 0 meV per atom. The crystal system is tetragonal. As for the formation energy: 275.4 meV per atom.

***

Entry 4:
A plane-wave DFT calculation with PBE was carried out for a relaxed structure of BeCu4.

Cell lengths 2.5066, 2.5066, 10.6886 Å; angles 90.00, 90.00, 120.00 degrees
Fractional positions:
Be 0.0000 0.0000 0.0000
Cu 0.3333 0.6667 0.4000
Cu 0.6667 0.3333 0.6000
Cu 0.3333 0.6667 0.1720
Cu 0.6667 0.3333 0.8280

## Properties
The space group is P-3m1 (164). As for the excess energy over the best structure of this formula in the dataset: 147 meV per atom. The crystal system is trigonal. As for the formation energy: 111.8 meV per atom.